# 1
First-principles (PBE-GGA) data for a geometry-optimized SrCdInCoP structure, as listed in Alexandria via LeMat-Bulk.

Properties
As for the symmetry: P3m1. Its density of states at the Fermi level is 4.90 states/eV per cell. Its crystal system is trigonal. As for the energy: -3.90 eV/atom. As for the formation enthalpy at 0 K: -333 meV per atom. The energy above the most stable polymorph in this dataset comes out at 0.000 eV per formula unit.

Cell lengths 3.855, 3.855, 8.904 Å; angles 90.00, 90.00, 120.00 degrees
Element x y z (fractional)
P1 0.333 0.667 0.845
In1 0.000 0.000 0.063
Co1 0.667 0.333 0.872
Sr1 0.000 0.000 0.604
Cd1 0.667 0.333 0.307

---

# 2
First-principles (PBE-GGA) data for a geometry-optimized SrCdInCoP structure, as listed in Alexandria via LeMat-Bulk.

Properties
As for the symmetry: Pm. Its density of states at the Fermi level is 2.96 states/eV per cell. Its crystal system is monoclinic. As for the energy: -3.83 eV/atom. As for the formation enthalpy at 0 K: -263 meV per atom. The energy above the most stable polymorph in this dataset comes out at 0.350 eV per formula unit.

Cell lengths 4.757, 3.527, 6.286 Å; angles 90.00, 91.35, 90.00 degrees
Element x y z (fractional)
Sr1 0.718 0.500 0.585
In1 0.705 0.000 0.063
Cd1 0.218 0.000 0.318
P1 0.239 0.000 0.764
Co1 0.159 0.500 0.961

---

# 3
First-principles (PBE-GGA) data for a geometry-optimized CdInCoPb2 structure, as listed in Alexandria via LeMat-Bulk.

Properties
As for the symmetry: P4/mmm. Its density of states at the Fermi level is 3.50 states/eV per cell. Its crystal system is tetragonal. As for the energy: -3.46 eV/atom. As for the formation enthalpy at 0 K: 175 meV per atom.

Cell lengths 5.118, 5.118, 5.036 Å; angles 90.00, 90.00, 90.00 degrees
Last column: magnetic moment on the atom in μB.
Element x y z (fractional)
Pb1 0.500 0.000 0.000  0.00
Pb2 0.000 0.500 0.000  0.00
In1 0.000 0.000 0.500  0.00
Cd1 0.500 0.500 0.500  0.01
Co1 0.000 0.000 0.000  0.48

---

# 4
First-principles (PBE-GGA) data for a geometry-optimized CdInCoPd2 structure, as listed in Alexandria via LeMat-Bulk.

Properties
As for the symmetry: P4/mmm. Its density of states at the Fermi level is 6.02 states/eV per cell. Its crystal system is tetragonal. As for the energy: -3.12 eV/atom. As for the formation enthalpy at 0 K: 1107 meV per atom.

Cell lengths 4.942, 5.189, 4.942 Å; angles 90.00, 90.00, 90.00 degrees
Last column: magnetic moment on the atom in μB.
Element x y z (fractional)
Pd1 0.500 0.000 0.000  -0.03
Pd2 0.000 0.000 0.500  0.00
In1 0.000 0.000 0.000  -0.01
Co1 0.500 0.500 0.500  2.16
Cd1 0.000 0.500 0.000  -0.02

---

# 5
First-principles (PBE-GGA) data for a geometry-optimized RbCdIn2Co structure, as listed in Alexandria via LeMat-Bulk.

Properties
As for the symmetry: P4/mmm. Its density of states at the Fermi level is 1.58 states/eV per cell. Its crystal system is tetragonal. As for the energy: -2.90 eV/atom. As for the formation enthalpy at 0 K: -8 meV per atom.

Cell lengths 5.047, 5.047, 5.274 Å; angles 90.00, 90.00, 90.00 degrees
Element x y z (fractional)
In1 0.500 0.000 0.000
In2 0.000 0.500 0.000
Co1 0.000 0.000 0.000
Rb1 0.500 0.500 0.500
Cd1 0.000 0.000 0.500

---

# 6
First-principles (PBE-GGA) data for a geometry-optimized RbCd2InCo structure, as listed in Alexandria via LeMat-Bulk.

Properties
As for the symmetry: P4/mmm. Its density of states at the Fermi level is 2.05 states/eV per cell. Its crystal system is tetragonal. As for the energy: -2.46 eV/atom. As for the formation enthalpy at 0 K: 64 meV per atom.

Cell lengths 5.213, 5.213, 5.006 Å; angles 90.00, 90.00, 90.00 degrees
Element x y z (fractional)
Cd1 0.000 0.500 0.000
Cd2 0.500 0.000 0.000
Rb1 0.500 0.500 0.500
In1 0.000 0.000 0.500
Co1 0.000 0.000 0.000

---

# 7
First-principles (PBE-GGA) data for a geometry-optimized CdInCoRh structure, as listed in Alexandria via LeMat-Bulk.

Properties
As for the symmetry: F-43m. Its density of states at the Fermi level is 2.00 states/eV per cell. Its crystal system is cubic. As for the energy: -4.54 eV/atom. As for the formation enthalpy at 0 K: -10 meV per atom.

Cell lengths 4.496, 4.496, 4.496 Å; angles 60.00, 60.00, 60.00 degrees
Last column: magnetic moment on the atom in μB.
Element x y z (fractional)
In1 0.750 0.750 0.750  -0.01
Co1 0.500 0.500 0.500  0.27
Cd1 0.250 0.250 0.250  -0.01
Rh1 0.000 0.000 0.000  -0.01

---

# 8
First-principles (PBE-GGA) data for a geometry-optimized Sc5CdIn2Co2 structure, as listed in Alexandria via LeMat-Bulk.

Properties
As for the symmetry: P4/mbm. Its density of states at the Fermi level is 13.65 states/eV per cell. Its crystal system is tetragonal. As for the energy: -5.56 eV/atom. As for the formation enthalpy at 0 K: -332 meV per atom.

Cell lengths 3.302, 11.122, 11.122 Å; angles 90.00, 90.00, 90.00 degrees
Element x y z (fractional)
Sc1 0.500 0.000 0.500
Sc2 0.500 0.074 0.786
Sc3 0.500 0.574 0.714
Sc4 0.500 0.500 0.000
Sc5 0.500 0.426 0.286
Sc6 0.500 0.286 0.574
Sc7 0.500 0.214 0.074
Sc8 0.500 0.714 0.426
Sc9 0.500 0.786 0.926
Sc10 0.500 0.926 0.214
In1 0.000 0.174 0.326
In2 0.000 0.674 0.174
In3 0.000 0.826 0.674
In4 0.000 0.326 0.826
Co1 0.000 0.628 0.872
Co2 0.000 0.872 0.372
Co3 0.000 0.128 0.628
Co4 0.000 0.372 0.128
Cd1 0.000 0.500 0.500
Cd2 0.000 0.000 0.000

---

# 9
First-principles (PBE-GGA) data for a geometry-optimized ScCdIn2Co structure, as listed in Alexandria via LeMat-Bulk.

Properties
As for the symmetry: P4/mmm. Its density of states at the Fermi level is 2.69 states/eV per cell. Its crystal system is tetragonal. As for the energy: -4.04 eV/atom. As for the formation enthalpy at 0 K: -73 meV per atom.

Cell lengths 4.977, 4.977, 4.636 Å; angles 90.00, 90.00, 90.00 degrees
Element x y z (fractional)
Sc1 0.000 0.000 0.500
In1 0.500 0.000 0.000
In2 0.000 0.500 0.000
Co1 0.000 0.000 0.000
Cd1 0.500 0.500 0.500

---

# 10
First-principles (PBE-GGA) data for a geometry-optimized ScCdInCo structure, as listed in Alexandria via LeMat-Bulk.

Properties
As for the symmetry: F-43m. Its density of states at the Fermi level is 3.82 states/eV per cell. Its crystal system is cubic. As for the energy: -4.34 eV/atom. As for the formation enthalpy at 0 K: -67 meV per atom.

Cell lengths 4.703, 4.703, 4.703 Å; angles 60.00, 60.00, 60.00 degrees
Last column: magnetic moment on the atom in μB.
Element x y z (fractional)
Sc1 0.000 0.000 0.000  -0.06
Cd1 0.750 0.750 0.750  0.01
Co1 0.250 0.250 0.250  1.11
In1 0.500 0.500 0.500  0.01

---

# 11
First-principles (PBE-GGA) data for a geometry-optimized Cd2InCoSn structure, as listed in Alexandria via LeMat-Bulk.

Properties
As for the symmetry: P4/mmm. Its density of states at the Fermi level is 2.36 states/eV per cell. Its crystal system is tetragonal. As for the energy: -2.98 eV/atom. As for the formation enthalpy at 0 K: 159 meV per atom.

Cell lengths 5.096, 5.096, 4.803 Å; angles 90.00, 90.00, 90.00 degrees
Element x y z (fractional)
Cd1 0.500 0.000 0.000
Cd2 0.000 0.500 0.000
Co1 0.000 0.000 0.000
In1 0.500 0.500 0.500
Sn1 0.000 0.000 0.500

---

# 12
First-principles (PBE-GGA) data for a geometry-optimized CdIn2CoSn structure, as listed in Alexandria via LeMat-Bulk.

Properties
As for the symmetry: P4/mmm. Its density of states at the Fermi level is 1.99 states/eV per cell. Its crystal system is tetragonal. As for the energy: -3.45 eV/atom. As for the formation enthalpy at 0 K: 52 meV per atom.

Cell lengths 5.028, 5.028, 4.875 Å; angles 90.00, 90.00, 90.00 degrees
Element x y z (fractional)
In1 0.500 0.000 0.000
In2 0.000 0.500 0.000
Sn1 0.000 0.000 0.500
Cd1 0.500 0.500 0.500
Co1 0.000 0.000 0.000